{"formula": "NaAs2Pb2", "functional": "PBE", "state": "relaxed", "sg": "P4/mbm (127)", "e_form_mev_per_atom": -49.6, "n_ef_per_ev_cell": 4.24, "rho_g_cm3": 7.279, "cell": [[8.2359, 0.0000, 0.0000], [0.0000, 8.2359, 0.0000], [0.0000, 0.0000, 3.9500]], "species": ["Pb", "Pb", "Pb", "Pb", "Na", "Na", "As", "As", "As", "As"], "frac_coords": [[0.1484, 0.6484, 0.5000], [0.6484, 0.8516, 0.5000], [0.8516, 0.3516, 0.5000], [0.3516, 0.1484, 0.5000], [0.0000, 0.0000, 0.0000], [0.5000, 0.5000, 0.0000], [0.3529, 0.8529, 0.0000], [0.8529, 0.6471, 0.0000], [0.6471, 0.1471, 0.0000], [0.1471, 0.3529, 0.0000]]}


{"formula": "TlAgBH6", "functional": "PBE", "state": "relaxed", "sg": "P1 (1)", "e_tot_ev_per_atom": -3.358, "n_ef_per_ev_cell": 0.90, "rho_g_cm3": 5.100, "cell": [[4.2184, 0.6289, -0.5514], [2.4995, 4.7349, -1.1512], [-0.4641, -1.0428, 6.0684]], "species": ["Tl", "Ag", "B", "H", "H", "H", "H", "H", "H"], "frac_coords": [[0.9892, 0.0290, 0.9770], [0.5149, 0.7658, 0.4702], [0.4936, 0.3433, 0.5294], [0.5207, 0.6189, 0.1638], [0.5021, 0.9231, 0.7800], [0.8181, 0.2795, 0.5108], [0.4203, 0.4180, 0.7332], [0.2111, 0.5393, 0.4365], [0.5298, 0.0831, 0.3989]]}


{"formula": "HoTmPb", "functional": "PBE", "state": "relaxed", "sg": "P3m1 (156)", "e_form_mev_per_atom": -181.4, "n_ef_per_ev_cell": 4.06, "rho_g_cm3": 10.143, "cell": [[3.6741, 0.0000, 0.0000], [0.0000, 5.2764, 0.0000], [0.0000, -2.6382, 4.5695]], "species": ["Pb", "Tm", "Ho"], "frac_coords": [[0.6498, 0.6667, 0.3333], [0.4074, 0.3333, 0.6667], [0.9428, 0.0000, 0.0000]]}


{"formula": "Pr2ThSi3Rh12", "functional": "PBE", "state": "relaxed", "sg": "R-3m (166)", "e_form_raw_ev_per_fu": -6.8, "n_ef_per_ev_cell": 17.61, "rho_g_cm3": 9.779, "cell": [[6.5566, -1.4860, -1.0540], [1.9459, 6.4351, -1.0540], [1.9459, 1.1327, 6.4217]], "species": ["Pr", "Pr", "Th", "Si", "Si", "Si", "Rh", "Rh", "Rh", "Rh", "Rh", "Rh", "Rh", "Rh", "Rh", "Rh", "Rh", "Rh"], "frac_coords": [[0.6335, 0.6335, 0.6335], [0.3665, 0.3665, 0.3665], [0.0000, 0.0000, 0.0000], [0.5000, 0.0000, 0.0000], [0.0000, 0.5000, 0.0000], [0.0000, 0.0000, 0.5000], [0.3715, 0.3715, 0.9184], [0.8163, 0.8163, 0.3260], [0.3260, 0.8163, 0.8163], [0.9184, 0.3715, 0.3715], [0.8163, 0.3260, 0.8163], [0.3715, 0.9184, 0.3715], [0.6285, 0.6285, 0.0816], [0.1837, 0.1837, 0.6740], [0.6740, 0.1837, 0.1837], [0.0816, 0.6285, 0.6285], [0.1837, 0.6740, 0.1837], [0.6285, 0.0816, 0.6285]]}


{"formula": "CuNi3Pt12", "functional": "PBE", "state": "relaxed", "sg": "P4/mmm (123)", "e_form_mev_per_atom": -84.8, "n_ef_per_ev_cell": 24.09, "rho_g_cm3": 18.240, "cell": [[3.8787, 0.0000, 0.0000], [0.0000, 3.8787, 0.0000], [0.0000, 0.0000, 15.6167]], "species": ["Cu", "Ni", "Ni", "Ni", "Pt", "Pt", "Pt", "Pt", "Pt", "Pt", "Pt", "Pt", "Pt", "Pt", "Pt", "Pt"], "frac_coords": [[0.0000, 0.0000, 0.0000], [0.0000, 0.0000, 0.2515], [0.0000, 0.0000, 0.5000], [0.0000, 0.0000, 0.7485], [0.5000, 0.5000, 0.0000], [0.5000, 0.5000, 0.2505], [0.5000, 0.5000, 0.5000], [0.5000, 0.5000, 0.7495], [0.5000, 0.0000, 0.1260], [0.5000, 0.0000, 0.3754], [0.5000, 0.0000, 0.6246], [0.5000, 0.0000, 0.8740], [0.0000, 0.5000, 0.1260], [0.0000, 0.5000, 0.3754], [0.0000, 0.5000, 0.6246], [0.0000, 0.5000, 0.8740]]}


{"formula": "Er6ZnC3", "functional": "PBE", "state": "relaxed", "sg": "P2_1/m (11)", "e_form_mev_per_atom": -286.2, "n_ef_per_ev_cell": 14.01, "rho_g_cm3": 8.845, "cell": [[-0.2428, -2.0031, -2.9376], [2.1554, -8.9066, 5.8953], [-11.1823, 1.6846, -0.2246]], "species": ["Er", "Er", "Er", "Er", "Er", "Er", "Er", "Er", "Er", "Er", "Er", "Er", "Zn", "Zn", "C", "C", "C", "C", "C", "C"], "frac_coords": [[0.7500, 0.1813, 0.5670], [0.2500, 0.8187, 0.4330], [0.7500, 0.1360, 0.0520], [0.2500, 0.8640, 0.9480], [0.7500, 0.7564, 0.6692], [0.2500, 0.2436, 0.3308], [0.7500, 0.5360, 0.3786], [0.2500, 0.4640, 0.6214], [0.7500, 0.3557, 0.8680], [0.2500, 0.6443, 0.1320], [0.7500, 0.9424, 0.2345], [0.2500, 0.0576, 0.7655], [0.7500, 0.6302, 0.8838], [0.2500, 0.3698, 0.1162], [0.7500, 0.3486, 0.4712], [0.2500, 0.6514, 0.5288], [0.7500, 0.7368, 0.2836], [0.2500, 0.2632, 0.7164], [0.7500, 0.9640, 0.8537], [0.2500, 0.0360, 0.1463]]}


{"formula": "CuNiBi3", "functional": "PBE", "state": "relaxed", "sg": "Pm-3m (221)", "e_form_mev_per_atom": 796.0, "n_ef_per_ev_cell": 3.76, "rho_g_cm3": 8.963, "cell": [[5.1776, 0.0000, 0.0000], [0.0000, 5.1776, 0.0000], [0.0000, 0.0000, 5.1776]], "species": ["Ni", "Bi", "Bi", "Bi", "Cu"], "frac_coords": [[0.5000, 0.5000, 0.5000], [0.0000, 0.5000, 0.0000], [0.0000, 0.0000, 0.5000], [0.5000, 0.0000, 0.0000], [0.0000, 0.0000, 0.0000]]}


{"formula": "Ac8NdSm5", "functional": "PBE", "state": "relaxed", "sg": "I-4 (82)", "e_form_mev_per_atom": 241.6, "n_ef_per_ev_cell": 20.81, "rho_g_cm3": 7.798, "cell": [[-5.1383, 5.1383, 5.4686], [5.1383, -5.1383, 5.4686], [5.1383, 5.1383, -5.4686]], "species": ["Ac", "Ac", "Ac", "Ac", "Ac", "Ac", "Ac", "Ac", "Nd", "Sm", "Sm", "Sm", "Sm", "Sm"], "frac_coords": [[0.1669, 0.4372, 0.0980], [0.9311, 0.8331, 0.2703], [0.7318, 0.4739, 0.3951], [0.6634, 0.2682, 0.7421], [0.5261, 0.9213, 0.2579], [0.5628, 0.6608, 0.7297], [0.3392, 0.0689, 0.9020], [0.0787, 0.3366, 0.6049], [0.2500, 0.7500, 0.5000], [0.0284, 0.7281, 0.9025], [0.8741, 0.9716, 0.6997], [0.8256, 0.1259, 0.0975], [0.5000, 0.5000, 0.0000], [0.2719, 0.1744, 0.3003]]}


{"formula": "YPa", "functional": "PBE", "state": "relaxed", "sg": "P2_1/m (11)", "e_form_mev_per_atom": 200.1, "n_ef_per_ev_cell": 9.19, "rho_g_cm3": 9.321, "cell": [[-0.5748, -2.9087, -1.8468], [4.0609, -1.5168, 1.1251], [-2.6868, -2.4718, 6.3652]], "species": ["Y", "Y", "Pa", "Pa"], "frac_coords": [[0.2761, 0.2500, 0.6363], [0.7239, 0.7500, 0.3637], [0.8035, 0.7500, 0.9066], [0.1965, 0.2500, 0.0934]]}


{"formula": "RbV3Se6", "functional": "PBE", "state": "relaxed", "sg": "P2_1/m (11)", "e_form_raw_ev_per_fu": -7.4, "n_ef_per_ev_cell": 10.79, "rho_g_cm3": 4.808, "cell": [[-0.7001, -0.4944, 3.4360], [-12.1740, -1.3236, -2.6711], [5.7719, -10.4411, -0.3261]], "species": ["Rb", "Rb", "V", "V", "V", "V", "V", "V", "Se", "Se", "Se", "Se", "Se", "Se", "Se", "Se", "Se", "Se", "Se", "Se"], "frac_coords": [[0.7500, 0.6190, 0.8603], [0.2500, 0.3810, 0.1397], [0.7500, 0.2691, 0.4972], [0.2500, 0.7309, 0.5028], [0.7500, 0.7490, 0.2773], [0.2500, 0.2510, 0.7227], [0.7500, 0.9771, 0.8545], [0.2500, 0.0229, 0.1455], [0.7500, 0.1238, 0.5732], [0.2500, 0.8762, 0.4268], [0.7500, 0.1255, 0.0666], [0.2500, 0.8745, 0.9334], [0.7500, 0.7827, 0.6604], [0.2500, 0.2173, 0.3396], [0.7500, 0.5992, 0.3756], [0.2500, 0.4008, 0.6244], [0.7500, 0.3447, 0.8703], [0.2500, 0.6553, 0.1297], [0.7500, 0.9250, 0.2112], [0.2500, 0.0750, 0.7888]]}


{"formula": "Rb2ReRuBr6", "functional": "PBE", "state": "relaxed", "sg": "Fm-3m (225)", "e_form_raw_ev_per_fu": -4.6, "n_ef_per_ev_cell": 4.73, "rho_g_cm3": 5.218, "cell": [[-4.7535, 4.5131, 3.6406], [-5.2849, -1.4352, -5.1214], [-6.7079, -2.5756, 2.1553]], "species": ["Re", "Br", "Br", "Br", "Br", "Br", "Br", "Rb", "Rb", "Ru"], "frac_coords": [[0.0000, 0.0000, 0.0000], [0.2443, 0.2443, 0.5114], [0.7557, 0.7557, 0.4886], [0.2444, 0.2444, 0.0000], [0.7556, 0.7556, 0.0000], [0.7556, 0.2444, 0.0000], [0.2444, 0.7556, 0.0000], [0.7500, 0.2500, 0.5000], [0.2500, 0.7500, 0.5000], [0.5000, 0.5000, 0.0000]]}


{"formula": "GeP3S9", "functional": "PBE", "state": "relaxed", "sg": "Cc (9)", "e_form_raw_ev_per_fu": -1.0, "n_ef_per_ev_cell": 8.04, "rho_g_cm3": 2.159, "cell": [[6.7938, 0.0000, 2.8588], [3.0526, 10.7630, 2.2475], [-0.0096, -0.2691, 9.5246]], "species": ["Ge", "Ge", "P", "P", "P", "P", "P", "P", "S", "S", "S", "S", "S", "S", "S", "S", "S", "S", "S", "S", "S", "S", "S", "S", "S", "S"], "frac_coords": [[0.8613, 0.6899, 0.0038], [0.4449, 0.1899, 0.5038], [0.8789, 0.5008, 0.7060], [0.9144, 0.0008, 0.2060], [0.0142, 0.9698, 0.8262], [0.1898, 0.4698, 0.3262], [0.7031, 0.2468, 0.7083], [0.3418, 0.7468, 0.2083], [0.3657, 0.2851, 0.2866], [0.0626, 0.7851, 0.7866], [0.4585, 0.2855, 0.8861], [0.3699, 0.7855, 0.3861], [0.2761, 0.0039, 0.7827], [0.9373, 0.5039, 0.2827], [0.5308, 0.7993, 0.9961], [0.6739, 0.2993, 0.4961], [0.6516, 0.9962, 0.3978], [0.9545, 0.4962, 0.8978], [0.6257, 0.6013, 0.6864], [0.0867, 0.1013, 0.1864], [0.4142, 0.5537, 0.1653], [0.8669, 0.0537, 0.6653], [0.9613, 0.3006, 0.6958], [0.0422, 0.8006, 0.1958], [0.7733, 0.0246, 0.0368], [0.1653, 0.5246, 0.5368]]}


{"formula": "Pt3Au", "functional": "PBE", "state": "relaxed", "sg": "Cmcm (63)", "e_form_mev_per_atom": 93.8, "n_ef_per_ev_cell": 12.42, "rho_g_cm3": 19.782, "cell": [[2.7328, 1.3157, 4.7117], [-4.7426, -2.9726, 0.2672], [2.5404, -4.0830, -0.3333]], "species": ["Pt", "Pt", "Pt", "Pt", "Pt", "Pt", "Au", "Au"], "frac_coords": [[0.3684, 0.1195, 0.7500], [0.8723, 0.1277, 0.7500], [0.1195, 0.3684, 0.2500], [0.8805, 0.6316, 0.7500], [0.1277, 0.8723, 0.2500], [0.6316, 0.8805, 0.2500], [0.6238, 0.3762, 0.2500], [0.3762, 0.6238, 0.7500]]}


{"formula": "Rb3BaPb", "functional": "PBE", "state": "relaxed", "sg": "Pm-3m (221)", "e_form_mev_per_atom": 797.7, "n_ef_per_ev_cell": 9.97, "rho_g_cm3": 2.666, "cell": [[7.2068, 0.0000, 0.0000], [0.0000, 7.2068, 0.0000], [0.0000, 0.0000, 7.2068]], "species": ["Pb", "Ba", "Rb", "Rb", "Rb"], "frac_coords": [[0.5000, 0.5000, 0.5000], [0.0000, 0.0000, 0.0000], [0.0000, 0.5000, 0.0000], [0.0000, 0.0000, 0.5000], [0.5000, 0.0000, 0.0000]]}


{"formula": "Ta6Mo7", "functional": "PBE", "state": "relaxed", "sg": "R-3m (166)", "e_form_mev_per_atom": -0.6, "n_ef_per_ev_cell": 13.19, "rho_g_cm3": 12.869, "cell": [[-6.5482, 4.5186, 6.1315], [-8.0223, -0.4958, 6.0241], [-4.0869, 1.0060, 9.1202]], "species": ["Mo", "Mo", "Mo", "Mo", "Mo", "Mo", "Mo", "Ta", "Ta", "Ta", "Ta", "Ta", "Ta"], "frac_coords": [[0.9129, 0.4081, 0.4081], [0.4081, 0.4081, 0.9129], [0.4081, 0.9129, 0.4081], [0.0871, 0.5919, 0.5919], [0.5919, 0.0871, 0.5919], [0.5919, 0.5919, 0.0871], [0.5000, 0.5000, 0.5000], [0.9539, 0.9539, 0.9539], [0.0461, 0.0461, 0.0461], [0.8506, 0.8506, 0.8506], [0.1494, 0.1494, 0.1494], [0.6679, 0.6679, 0.6679], [0.3321, 0.3321, 0.3321]]}


{"formula": "Ag2HgSe", "functional": "PBE", "state": "relaxed", "sg": "C2/m (12)", "e_form_raw_ev_per_fu": 0.3, "n_ef_per_ev_cell": 1.56, "rho_g_cm3": 9.344, "cell": [[4.3859, -0.0790, 0.0426], [3.1955, 3.0051, 0.0426], [1.3443, 0.5188, 6.5674]], "species": ["Ag", "Ag", "Hg", "Se"], "frac_coords": [[0.9979, 0.9979, 0.0210], [0.5021, 0.5021, 0.4790], [0.7500, 0.7500, 0.7500], [0.2500, 0.2500, 0.2500]]}


{"formula": "AcHgAu10", "functional": "PBE", "state": "relaxed", "sg": "Pmmm (47)", "e_form_mev_per_atom": -237.2, "n_ef_per_ev_cell": 3.35, "rho_g_cm3": 15.267, "cell": [[-2.6136, -3.8178, 0.7654], [3.7882, -3.1805, -2.9286], [4.8853, -1.7061, 8.1720]], "species": ["Ac", "Hg", "Au", "Au", "Au", "Au", "Au", "Au", "Au", "Au", "Au", "Au"], "frac_coords": [[0.0000, 0.0000, 0.0000], [0.0000, 0.5000, 0.5000], [0.0000, 0.0000, 0.3412], [0.0000, 0.5000, 0.8108], [0.0000, 0.5000, 0.1892], [0.0000, 0.0000, 0.6588], [0.5000, 0.0000, 0.5000], [0.5000, 0.5000, 0.0000], [0.5000, 0.2407, 0.2407], [0.5000, 0.7593, 0.7593], [0.5000, 0.7593, 0.2407], [0.5000, 0.2407, 0.7593]]}


{"formula": "K3Y2ScS6", "functional": "PBE", "state": "relaxed", "sg": "C2/m (12)", "e_form_raw_ev_per_fu": -22.1, "n_ef_per_ev_cell": 0.00, "rho_g_cm3": 2.914, "cell": [[-6.8960, 0.3435, 0.1239], [3.2795, -1.4560, -5.9003], [0.8787, -6.7949, 3.5139]], "species": ["K", "K", "K", "Y", "Y", "Sc", "S", "S", "S", "S", "S", "S"], "frac_coords": [[0.1681, 0.8319, 0.5000], [0.8319, 0.1681, 0.5000], [0.5000, 0.5000, 0.5000], [0.3335, 0.6665, 0.0000], [0.6665, 0.3335, 0.0000], [0.0000, 0.0000, 0.0000], [0.9338, 0.6127, 0.8013], [0.7454, 0.7454, 0.1988], [0.0662, 0.3873, 0.1987], [0.6127, 0.9338, 0.8013], [0.2546, 0.2546, 0.8012], [0.3873, 0.0662, 0.1987]]}


{"formula": "CeY12Tm7", "functional": "PBE", "state": "relaxed", "sg": "R-3 (148)", "e_form_mev_per_atom": 279.2, "n_ef_per_ev_cell": 35.05, "rho_g_cm3": 6.072, "cell": [[5.9325, 0.0000, -1.2210], [-3.1025, 9.6659, -5.0590], [0.2724, 0.0000, 11.3390]], "species": ["Ce", "Y", "Y", "Y", "Y", "Y", "Y", "Y", "Y", "Y", "Y", "Y", "Y", "Tm", "Tm", "Tm", "Tm", "Tm", "Tm", "Tm"], "frac_coords": [[0.0000, 0.0000, 0.0000], [0.0852, 0.5851, 0.1710], [0.0858, 0.1710, 0.5858], [0.5756, 0.6471, 0.0006], [0.4250, 0.0006, 0.3535], [0.5000, 0.4142, 0.5851], [0.0715, 0.6465, 0.6471], [0.9285, 0.3535, 0.3529], [0.5000, 0.5858, 0.4149], [0.5750, 0.9994, 0.6465], [0.4244, 0.3529, 0.9994], [0.9142, 0.8290, 0.4142], [0.9148, 0.4149, 0.8290], [0.1175, 0.7585, 0.0007], [0.8832, 0.0007, 0.2422], [0.6410, 0.7578, 0.7585], [0.5000, 0.0000, 0.0000], [0.3590, 0.2422, 0.2415], [0.1168, 0.9993, 0.7578], [0.8825, 0.2415, 0.9993]]}


{"formula": "RbHfTaTc2", "functional": "PBE", "state": "relaxed", "sg": "P4/mmm (123)", "e_form_mev_per_atom": 2013.7, "n_ef_per_ev_cell": 6.68, "rho_g_cm3": 8.721, "cell": [[-0.1910, -2.0565, -4.3491], [2.2985, -4.3201, 1.9418], [-4.3273, -1.8283, 1.0546]], "species": ["Hf", "Tc", "Tc", "Rb", "Ta"], "frac_coords": [[0.5000, 0.5000, 0.5000], [0.0000, 0.0000, 0.5000], [0.5000, 0.0000, 0.0000], [0.0000, 0.5000, 0.0000], [0.0000, 0.0000, 0.0000]]}


{"formula": "ScPaNiAu", "functional": "PBE", "state": "relaxed", "sg": "F-43m (216)", "e_form_mev_per_atom": -282.6, "n_ef_per_ev_cell": 7.20, "rho_g_cm3": 10.939, "cell": [[-4.3771, 2.0325, 0.4892], [-3.9878, -2.7558, -0.1815], [-2.5980, -0.7747, 4.0225]], "species": ["Sc", "Ni", "Pa", "Au"], "frac_coords": [[0.7500, 0.7500, 0.7500], [0.5000, 0.5000, 0.5000], [0.2500, 0.2500, 0.2500], [0.0000, 0.0000, 0.0000]]}